Density functional theory data (PBEsol) for a relaxed structure of LaSb2TeH.

Computed properties:
Magnetic moment, μB/cell: 0.787
Energy, eV/atom: -3.440

a = 6.040 Å, b = 6.062 Å, c = 6.062 Å
α = 90.00°, β = 90.00°, γ = 90.00°
Positions (direct):
La  0.000  0.000  0.000
Te  0.500  0.000  0.000
Sb  0.000  0.000  0.500
Sb  0.000  0.500  0.000
H  0.500  0.500  0.500

***

Density functional theory data (PBEsol) for a relaxed structure of La3ScH.

Computed properties:
Magnetic moment, μB/cell: 0.001
Energy, eV/atom: -5.320

a = 5.053 Å, b = 5.053 Å, c = 5.053 Å
α = 90.00°, β = 90.00°, γ = 90.00°
Positions (direct):
H  0.000  0.000  0.000
La  0.500  0.000  0.000
La  0.000  0.000  0.500
La  0.000  0.500  0.000
Sc  0.500  0.500  0.500

***

Density functional theory data (PBEsol) for a relaxed structure of LaScH3.

Computed properties:
Magnetic moment, μB/cell: 0.005
Energy, eV/atom: -4.291

a = 4.290 Å, b = 4.290 Å, c = 4.290 Å
α = 90.00°, β = 90.00°, γ = 90.00°
Positions (direct):
Sc  0.500  0.500  0.500
H  0.000  0.500  0.000
H  0.500  0.000  0.000
H  0.000  0.000  0.500
La  0.000  0.000  0.000

***

Density functional theory data (PBEsol) for a relaxed structure of SrLaSc2H.

Computed properties:
Magnetic moment, μB/cell: 0.000
Energy, eV/atom: -3.087

a = 5.198 Å, b = 5.198 Å, c = 5.857 Å
α = 90.00°, β = 90.00°, γ = 90.00°
Positions (direct):
La  0.000  0.000  0.500
Sc  0.500  0.000  0.000
Sc  0.000  0.500  0.000
H  0.500  0.500  0.500
Sr  0.000  0.000  0.000

***

Density functional theory data (PBEsol) for a relaxed structure of Sr2LaHSe.

Computed properties:
Magnetic moment, μB/cell: 0.000
Energy, eV/atom: -3.233

a = 3.762 Å, b = 6.531 Å, c = 6.531 Å
α = 90.00°, β = 90.00°, γ = 90.00°
Positions (direct):
Sr  0.000  0.500  0.000
Sr  0.000  0.000  0.500
H  0.500  0.000  0.000
Se  0.000  0.000  0.000
La  0.500  0.500  0.500

***

Density functional theory data (PBEsol) for a relaxed structure of LaSi2H2.

Computed properties:
Magnetic moment, μB/cell: 0.000
Energy, eV/atom: -4.594

a = 4.179 Å, b = 4.179 Å, c = 5.014 Å
α = 114.63°, β = 114.63°, γ = 90.00°
Positions (direct):
Si  0.637  0.637  0.275
Si  0.363  0.363  0.725
H  0.750  0.250  0.500
H  0.250  0.750  0.500
La  0.000  0.000  0.000

***

Density functional theory data (PBEsol) for a relaxed structure of La3SnH.

Computed properties:
Magnetic moment, μB/cell: 0.001
Energy, eV/atom: -5.278

a = 4.987 Å, b = 4.987 Å, c = 4.987 Å
α = 90.00°, β = 90.00°, γ = 90.00°
Positions (direct):
Sn  0.500  0.500  0.500
La  0.500  0.000  0.000
La  0.000  0.000  0.500
La  0.000  0.500  0.000
H  0.000  0.000  0.000

***

Density functional theory data (PBEsol) for a relaxed structure of La2SnH2.

Computed properties:
Magnetic moment, μB/cell: 0.000
Energy, eV/atom: -5.069

a = 4.216 Å, b = 4.216 Å, c = 6.182 Å
α = 109.94°, β = 109.94°, γ = 90.00°
Positions (direct):
H  0.250  0.750  0.500
H  0.750  0.250  0.500
Sn  0.000  0.000  0.000
La  0.649  0.649  0.298
La  0.351  0.351  0.702

***

Density functional theory data (PBEsol) for a relaxed structure of SrLa2H.

Computed properties:
Magnetic moment, μB/cell: 0.001
Energy, eV/atom: -4.015

a = 7.018 Å, b = 7.018 Å, c = 7.018 Å
α = 97.78°, β = 115.62°, γ = 115.62°
Positions (direct):
Sr  0.500  0.750  0.250
Sr  0.000  0.000  0.000
La  0.832  0.457  0.125
La  0.168  0.293  0.625
La  0.668  0.375  0.543
La  0.332  0.875  0.707
H  0.000  0.500  0.500
H  0.500  0.250  0.750

***

Density functional theory data (PBEsol) for a relaxed structure of La2TaH.

Computed properties:
Magnetic moment, μB/cell: 0.002
Energy, eV/atom: -5.885

a = 5.413 Å, b = 5.413 Å, c = 7.702 Å
α = 110.57°, β = 110.57°, γ = 90.00°
Positions (direct):
H  0.750  0.250  0.500
H  0.500  0.500  0.000
La  0.440  0.875  0.250
La  0.125  0.190  0.750
La  0.625  0.560  0.750
La  0.810  0.375  0.250
Ta  0.250  0.750  0.500
Ta  0.000  0.000  0.000

***

Density functional theory data (PBEsol) for a relaxed structure of La2TeH2.

Computed properties:
Magnetic moment, μB/cell: 0.000
Energy, eV/atom: -5.127

a = 3.930 Å, b = 3.930 Å, c = 7.063 Å
α = 106.15°, β = 106.15°, γ = 90.00°
Positions (direct):
La  0.642  0.642  0.283
La  0.358  0.358  0.717
H  0.750  0.250  0.500
H  0.250  0.750  0.500
Te  0.000  0.000  0.000

***

Density functional theory data (PBEsol) for a relaxed structure of LaTe3H.

Computed properties:
Magnetic moment, μB/cell: 1.087
Energy, eV/atom: -3.456

a = 6.107 Å, b = 6.107 Å, c = 6.107 Å
α = 90.00°, β = 90.00°, γ = 90.00°
Positions (direct):
La  0.000  0.000  0.000
H  0.500  0.500  0.500
Te  0.000  0.500  0.000
Te  0.000  0.000  0.500
Te  0.500  0.000  0.000

***

Density functional theory data (PBEsol) for a relaxed structure of LaTi3H.

Computed properties:
Magnetic moment, μB/cell: 0.000
Energy, eV/atom: -6.589

a = 4.290 Å, b = 4.290 Å, c = 4.290 Å
α = 90.00°, β = 90.00°, γ = 90.00°
Positions (direct):
Ti  0.000  0.500  0.000
Ti  0.500  0.000  0.000
Ti  0.000  0.000  0.500
La  0.500  0.500  0.500
H  0.000  0.000  0.000

***

Density functional theory data (PBEsol) for a relaxed structure of La2TlH.

Computed properties:
Magnetic moment, μB/cell: 0.000
Energy, eV/atom: -4.529

a = 6.382 Å, b = 6.382 Å, c = 6.382 Å
α = 106.45°, β = 111.00°, γ = 111.00°
Positions (direct):
La  0.411  0.875  0.786
La  0.911  0.536  0.125
La  0.589  0.375  0.464
La  0.089  0.214  0.625
Tl  0.000  0.000  0.000
Tl  0.500  0.750  0.250
H  0.000  0.500  0.500
H  0.500  0.250  0.750

***

Density functional theory data (PBEsol) for a relaxed structure of LaY2H2.

Computed properties:
Excess energy over the best structure of this formula in the dataset, eV/f.u.: 3.82
Magnetic moment, μB/cell: 0.008

a = 3.020 Å, b = 8.559 Å, c = 8.559 Å
α = 90.00°, β = 90.00°, γ = 90.00°
Positions (direct):
H  0.500  0.083  0.583
H  0.500  0.417  0.083
H  0.500  0.917  0.417
H  0.500  0.583  0.917
Y  0.000  0.626  0.126
Y  0.000  0.374  0.874
Y  0.000  0.874  0.626
Y  0.000  0.126  0.374
La  0.000  0.500  0.500
La  0.000  0.000  0.000

***

Density functional theory data (PBEsol) for a relaxed structure of LaY2H2.

Computed properties:
Excess energy over the best structure of this formula in the dataset, eV/f.u.: 0.00
Magnetic moment, μB/cell: 0.000

a = 3.503 Å, b = 3.503 Å, c = 8.695 Å
α = 101.62°, β = 101.62°, γ = 90.00°
Positions (direct):
Y  0.329  0.329  0.658
Y  0.671  0.671  0.342
H  0.250  0.750  0.500
H  0.750  0.250  0.500
La  0.000  0.000  0.000

***

Density functional theory data (PBEsol) for a relaxed structure of LaY2H.

Computed properties:
Magnetic moment, μB/cell: 2.038
Energy, eV/atom: -4.802

a = 5.227 Å, b = 5.227 Å, c = 5.227 Å
α = 60.00°, β = 60.00°, γ = 60.00°
Positions (direct):
La  0.500  0.500  0.500
Y  0.750  0.750  0.750
Y  0.250  0.250  0.250
H  0.000  0.000  0.000

***

Density functional theory data (PBEsol) for a relaxed structure of La2ZnH2.

Computed properties:
Magnetic moment, μB/cell: 0.000
Energy, eV/atom: -4.238

a = 3.878 Å, b = 3.878 Å, c = 6.856 Å
α = 106.43°, β = 106.43°, γ = 90.00°
Positions (direct):
La  0.642  0.642  0.284
La  0.358  0.358  0.716
H  0.750  0.250  0.500
H  0.250  0.750  0.500
Zn  0.000  0.000  0.000

***

Density functional theory data (PBEsol) for a relaxed structure of La3ZnH.

Computed properties:
Magnetic moment, μB/cell: 0.000
Energy, eV/atom: -4.360

a = 4.925 Å, b = 4.925 Å, c = 4.925 Å
α = 90.00°, β = 90.00°, γ = 90.00°
Positions (direct):
La  0.000  0.000  0.500
La  0.500  0.000  0.000
La  0.000  0.500  0.000
H  0.000  0.000  0.000
Zn  0.500  0.500  0.500

***

Density functional theory data (PBEsol) for a relaxed structure of LaZr3H.

Computed properties:
Magnetic moment, μB/cell: 0.000
Energy, eV/atom: -7.194

a = 4.593 Å, b = 4.593 Å, c = 4.593 Å
α = 90.00°, β = 90.00°, γ = 90.00°
Positions (direct):
H  0.000  0.000  0.000
Zr  0.000  0.500  0.000
Zr  0.000  0.000  0.500
Zr  0.500  0.000  0.000
La  0.500  0.500  0.500